# Sm2Mg5Ga4

An optimized crystal structure of Sm2Mg5Ga4 (PBE-GGA, Alexandria via LeMat-Bulk).

Computed properties:
- Fermi-level density of states (states/eV/f.u.) = 7.28
- formation energy from the elements (eV per formula unit) = -2.37
- uncorrected energy (eV for the cell shown) = -127.56

Unit cell a=6.055 b=11.319 c=14.959 alpha=90.00 beta=90.00 gamma=90.00
Space group Fmmm (No. 69)
Symmetry-distinct sites (fractional):
Sm 0.000 0.000 0.145 (multiplicity 8)
Mg 0.000 0.000 0.500 (multiplicity 4)
Mg 0.250 0.250 0.000 (multiplicity 8)
Mg 0.250 0.250 0.250 (multiplicity 8)
Ga 0.000 0.113 0.350 (multiplicity 16)